A plane-wave DFT calculation with GGA-PBE was carried out for a relaxed structure of PuNbS2.

Calculated values
The uncorrected formation energy is -1203.7 meV per atom. The total magnetic moment is 5.0 μB/f.u. Its space group is R-3m (166). As for the crystal system: trigonal.

Lattice parameters (Å, degrees): 6.2728 6.2728 6.2728 35.31 35.31 35.31
Element x y z (fractional)
1 Pu 0.0000 0.0000 0.0000
2 Nb 0.5000 0.5000 0.5000
3 S 0.2442 0.2442 0.2442
4 S 0.7558 0.7558 0.7558


A plane-wave DFT calculation with GGA-PBE was carried out for a relaxed structure of PuNbS4.

Calculated values
The uncorrected formation energy is -911.1 meV per atom. The total magnetic moment is 5.0 μB/f.u. Its space group is I-4 (82). As for the crystal system: tetragonal.

Lattice parameters (Å, degrees): 6.1273 6.1273 6.1273 112.18 112.18 104.19
Element x y z (fractional)
1 Pu 0.0000 0.0000 0.0000
2 Nb 0.2500 0.7500 0.5000
3 S 0.2168 0.6857 0.0917
4 S 0.3143 0.4060 0.5311
5 S 0.5940 0.1251 0.9083
6 S 0.8749 0.7832 0.4689


A plane-wave DFT calculation with GGA-PBE was carried out for a relaxed structure of PuNb2S6.

Calculated values
The uncorrected formation energy is -1006.2 meV per atom. The total magnetic moment is 4.9 μB/f.u. Its space group is C2/m (12). As for the crystal system: monoclinic.

Lattice parameters (Å, degrees): 7.6204 7.6204 9.6015 124.46 124.46 31.44
Element x y z (fractional)
1 Pu 0.0000 0.0000 0.0000
2 Nb 0.4892 0.4892 0.6582
3 Nb 0.5108 0.5108 0.3418
4 S 0.1003 0.1003 0.3486
5 S 0.3542 0.3542 0.3397
6 S 0.3901 0.3901 0.0230
7 S 0.6099 0.6099 0.9770
8 S 0.6458 0.6458 0.6603
9 S 0.8997 0.8997 0.6514


A plane-wave DFT calculation with GGA-PBE was carried out for a relaxed structure of Pu2Nb2S7.

Calculated values
The uncorrected formation energy is -1147.7 meV per atom. The total magnetic moment is 10.6 μB/f.u. Its space group is Imm2 (44). As for the crystal system: orthorhombic.

Lattice parameters (Å, degrees): 8.2282 8.2282 8.2282 154.32 66.30 120.05
Element x y z (fractional)
1 Pu 0.2306 0.0000 0.2306
2 Pu 0.7694 0.0000 0.7694
3 Nb 0.2396 0.2396 0.0000
4 Nb 0.6822 0.1822 0.5000
5 S 0.0710 0.6989 0.3721
6 S 0.3268 0.6989 0.6279
7 S 0.4047 0.5042 0.9005
8 S 0.6037 0.5042 0.0995
9 S 0.6131 0.2843 0.3288
10 S 0.9139 0.9139 0.0000
11 S 0.9555 0.2843 0.6712


A plane-wave DFT calculation with GGA-PBE was carried out for a relaxed structure of PuNb4S8.

Calculated values
The uncorrected formation energy is -1158.7 meV per atom. The total magnetic moment is 4.8 μB/f.u. The energy relative to the lowest polymorph listed for this composition is 0 meV/atom. Its space group is C2/m (12). As for the crystal system: monoclinic.

Lattice parameters (Å, degrees): 6.8682 6.8682 8.6924 122.99 122.99 60.71
Element x y z (fractional)
1 Pu 0.0000 0.0000 0.0000
2 Nb 0.2775 0.2775 0.5117
3 Nb 0.2951 0.7049 0.5000
4 Nb 0.7049 0.2951 0.5000
5 Nb 0.7225 0.7225 0.4883
6 S 0.0024 0.0024 0.6869
7 S 0.0238 0.5233 0.7299
8 S 0.4572 0.4572 0.2352
9 S 0.4767 0.9762 0.2701
10 S 0.5233 0.0238 0.7299
11 S 0.5428 0.5428 0.7648
12 S 0.9762 0.4767 0.2701
13 S 0.9976 0.9976 0.3131


A plane-wave DFT calculation with GGA-PBE was carried out for a relaxed structure of PuNb4S8.

Calculated values
The uncorrected formation energy is -1052.9 meV per atom. The total magnetic moment is 5.6 μB/f.u. The energy relative to the lowest polymorph listed for this composition is 106 meV/atom. Its space group is F-43m (216). As for the crystal system: cubic.

Lattice parameters (Å, degrees): 7.3253 7.3253 7.3253 60.00 60.00 60.00
Element x y z (fractional)
1 Pu 0.0000 0.0000 0.0000
2 Nb 0.1857 0.6048 0.6048
3 Nb 0.6048 0.1857 0.6048
4 Nb 0.6048 0.6048 0.1857
5 Nb 0.6048 0.6048 0.6048
6 S 0.3707 0.3707 0.3707
7 S 0.3707 0.3707 0.8879
8 S 0.3707 0.8879 0.3707
9 S 0.4347 0.8551 0.8551
10 S 0.8551 0.4347 0.8551
11 S 0.8551 0.8551 0.4347
12 S 0.8551 0.8551 0.8551
13 S 0.8879 0.3707 0.3707


A plane-wave DFT calculation with GGA-PBE was carried out for a relaxed structure of Pu3NbTl3S8.

Calculated values
The uncorrected formation energy is -1151.0 meV per atom. The total magnetic moment is 16.0 μB/f.u. Its space group is R-3m (166). As for the crystal system: trigonal.

Lattice parameters (Å, degrees): 8.8523 8.8523 8.8523 52.61 52.61 52.61
Element x y z (fractional)
1 Pu 0.0000 0.5000 0.5000
2 Pu 0.5000 0.0000 0.5000
3 Pu 0.5000 0.5000 0.0000
4 Nb 0.0000 0.0000 0.0000
5 Tl 0.0000 0.0000 0.5000
6 Tl 0.0000 0.5000 0.0000
7 Tl 0.5000 0.0000 0.0000
8 S 0.2182 0.2182 0.7530
9 S 0.2182 0.7530 0.2182
10 S 0.2470 0.7818 0.7818
11 S 0.2670 0.2670 0.2670
12 S 0.7330 0.7330 0.7330
13 S 0.7530 0.2182 0.2182
14 S 0.7818 0.2470 0.7818
15 S 0.7818 0.7818 0.2470


A plane-wave DFT calculation with GGA-PBE was carried out for a relaxed structure of Pu2NbSb.

Calculated values
The uncorrected formation energy is -176.6 meV per atom. The total magnetic moment is 9.7 μB/f.u. Its space group is P4/mmm (123). As for the crystal system: tetragonal.

Lattice parameters (Å, degrees): 4.4066 4.4066 4.6177 90.00 90.00 90.00
Element x y z (fractional)
1 Pu 0.0000 0.5000 0.0000
2 Pu 0.5000 0.0000 0.0000
3 Nb 0.0000 0.0000 0.5000
4 Sb 0.5000 0.5000 0.5000


A plane-wave DFT calculation with GGA-PBE was carried out for a relaxed structure of PuNbSb2.

Calculated values
The uncorrected formation energy is 28.5 meV per atom. The total magnetic moment is 6.8 μB/f.u. The energy relative to the lowest polymorph listed for this composition is 354 meV/atom. Its space group is R-3m (166). As for the crystal system: trigonal.

Lattice parameters (Å, degrees): 10.7212 10.7212 10.7212 18.27 18.27 18.27
Element x y z (fractional)
1 Pu 0.0000 0.0000 0.0000
2 Nb 0.5000 0.5000 0.5000
3 Sb 0.1015 0.1015 0.1015
4 Sb 0.8985 0.8985 0.8985


A plane-wave DFT calculation with GGA-PBE was carried out for a relaxed structure of PuNbSb3.

Calculated values
The uncorrected formation energy is -402.5 meV per atom. The total magnetic moment is 5.5 μB/f.u. Its space group is Pbcm (57). As for the crystal system: orthorhombic.

Lattice parameters (Å, degrees): 12.9694 6.3717 6.1246 90.00 90.00 90.00
Element x y z (fractional)
1 Pu 0.1845 0.0058 0.2500
2 Pu 0.1845 0.4942 0.7500
3 Pu 0.8155 0.5058 0.2500
4 Pu 0.8155 0.9942 0.7500
5 Nb 0.4033 0.7500 0.0000
6 Nb 0.4033 0.7500 0.5000
7 Nb 0.5967 0.2500 0.0000
8 Nb 0.5967 0.2500 0.5000
9 Sb 0.0025 0.7500 0.0000
10 Sb 0.0025 0.7500 0.5000
11 Sb 0.2630 0.0014 0.7500
12 Sb 0.2630 0.4986 0.2500
13 Sb 0.4224 0.1210 0.2500
14 Sb 0.4224 0.3790 0.7500
15 Sb 0.5776 0.6210 0.2500
16 Sb 0.5776 0.8790 0.7500
17 Sb 0.7370 0.5014 0.7500
18 Sb 0.7370 0.9986 0.2500
19 Sb 0.9975 0.2500 0.0000
20 Sb 0.9975 0.2500 0.5000


A plane-wave DFT calculation with GGA-PBE was carried out for a relaxed structure of PuNbSb2.

Calculated values
The uncorrected formation energy is -325.0 meV per atom. The total magnetic moment is 5.8 μB/f.u. The energy relative to the lowest polymorph listed for this composition is 0 meV/atom. Its space group is P4/mmm (123). As for the crystal system: tetragonal.

Lattice parameters (Å, degrees): 3.4648 3.4648 7.6914 90.00 90.00 90.00
Element x y z (fractional)
1 Pu 0.0000 0.0000 0.0000
2 Nb 0.0000 0.0000 0.5000
3 Sb 0.5000 0.5000 0.2847
4 Sb 0.5000 0.5000 0.7153


A plane-wave DFT calculation with GGA-PBE was carried out for a relaxed structure of PuNbSb.

Calculated values
The uncorrected formation energy is -74.8 meV per atom. The total magnetic moment is 0.0 μB/f.u. The energy relative to the lowest polymorph listed for this composition is 0 meV/atom. Its space group is C2/m (12). As for the crystal system: monoclinic.

Lattice parameters (Å, degrees): 5.0622 5.0622 7.8535 98.17 98.17 40.40
Element x y z (fractional)
1 Pu 0.1722 0.1722 0.4562
2 Pu 0.8278 0.8278 0.5438
3 Nb 0.3065 0.3065 0.8893
4 Nb 0.6935 0.6935 0.1107
5 Sb 0.4267 0.4267 0.2445
6 Sb 0.5733 0.5733 0.7555